Compound: MgGeNO2
Source: the Alexandria database
Functional: PBE
Structure: optimized geometry

Cell lengths 3.788, 3.788, 3.713 Å; angles 90.00, 90.00, 90.00 degrees
Sites, in units of the cell vectors:
1 Ge 0.000 0.000 0.000
2 Mg 0.500 0.500 0.500
3 O 0.000 0.500 0.000
4 O 0.500 0.000 0.000
5 N 0.000 0.000 0.500

## Properties
DOS(E_F) = 0.6 states/eV/cell
DFT total energy = -27.9 eV for the cell shown
ΔE_f (raw) = -337.2 kJ/mol of formula units

---

Compound: Mg2GePtN
Source: the Alexandria database
Functional: PBE
Structure: optimized geometry

Cell lengths 5.163, 3.637, 5.163 Å; angles 90.00, 90.00, 90.00 degrees
Sites, in units of the cell vectors:
1 Ge 0.000 0.000 0.000
2 Mg 0.000 0.000 0.500
3 Mg 0.500 0.000 0.000
4 Pt 0.500 0.500 0.500
5 N 0.000 0.500 0.000

## Properties
DOS(E_F) = 2.9 states/eV/cell
DFT total energy = -18.8 eV for the cell shown
ΔE_f (raw) = 323.1 kJ/mol of formula units

---

Compound: MgGePt2N
Source: the Alexandria database
Functional: PBE
Structure: optimized geometry

Cell lengths 4.818, 3.751, 4.818 Å; angles 90.00, 90.00, 90.00 degrees
Sites, in units of the cell vectors:
1 Ge 0.500 0.500 0.500
2 Mg 0.000 0.000 0.000
3 Pt 0.000 0.000 0.500
4 Pt 0.500 0.000 0.000
5 N 0.000 0.500 0.000

## Properties
DOS(E_F) = 3.9 states/eV/cell
DFT total energy = -21.6 eV for the cell shown
ΔE_f (raw) = 486.1 kJ/mol of formula units

---

Compound: Pu2MgGeN5
Source: the Alexandria database
Functional: PBE
Structure: optimized geometry

Cell lengths 3.301, 6.943, 10.245 Å; angles 90.00, 90.00, 103.75 degrees
Site moments in Bohr magnetons follow the coordinates.
Sites, in units of the cell vectors:
1 Pu 0.868 0.737 0.751  3.97
2 Pu 0.135 0.271 0.717  4.04
3 Pu 0.132 0.263 0.251  3.97
4 Pu 0.865 0.729 0.217  4.04
5 Mg 0.773 0.546 0.491  0.00
6 Mg 0.227 0.454 0.991  0.00
7 Ge 0.502 0.004 0.983  0.00
8 Ge 0.498 0.996 0.483  0.00
9 N 0.376 0.753 0.060  -0.16
10 N 0.712 0.424 0.838  -0.25
11 N 0.484 0.967 0.800  -0.18
12 N 0.292 0.583 0.651  -0.25
13 N 0.935 0.871 0.534  -0.07
14 N 0.624 0.247 0.560  -0.16
15 N 0.288 0.576 0.338  -0.25
16 N 0.516 0.033 0.300  -0.18
17 N 0.708 0.417 0.151  -0.25
18 N 0.065 0.129 0.034  -0.07

## Properties
DOS(E_F) = 25.0 states/eV/cell
DFT total energy = -165.3 eV for the cell shown
ΔE_f (raw) = -590.8 kJ/mol of formula units

---

Compound: MgGeS2N
Source: the Alexandria database
Functional: PBE
Structure: optimized geometry

Cell lengths 4.679, 5.441, 4.679 Å; angles 90.00, 90.00, 90.00 degrees
Site moments in Bohr magnetons follow the coordinates.
Sites, in units of the cell vectors:
1 Mg 0.000 0.000 0.000  -0.01
2 Ge 0.000 0.500 0.000  -0.21
3 S 0.000 0.000 0.500  0.25
4 S 0.500 0.000 0.000  0.24
5 N 0.500 0.500 0.500  1.66

## Properties
DOS(E_F) = 2.5 states/eV/cell
DFT total energy = -16.1 eV for the cell shown
Offset from the most stable computed form = 1077 meV/atom
ΔE_f (raw) = 643.3 kJ/mol of formula units

---

Compound: MgGeSN2
Source: the Alexandria database
Functional: PBE
Structure: optimized geometry

Cell lengths 4.077, 4.077, 5.118 Å; angles 90.00, 90.00, 90.00 degrees
Site moments in Bohr magnetons follow the coordinates.
Sites, in units of the cell vectors:
1 Mg 0.000 0.000 0.000  -0.01
2 Ge 0.500 0.500 0.500  -0.04
3 S 0.000 0.000 0.500  0.24
4 N 0.000 0.500 0.000  1.25
5 N 0.500 0.000 0.000  1.25

## Properties
DOS(E_F) = 1.9 states/eV/cell
DFT total energy = -21.1 eV for the cell shown
Offset from the most stable computed form = 604 meV/atom
ΔE_f (raw) = 567.2 kJ/mol of formula units

---

Compound: MgGeS2N
Source: the Alexandria database
Functional: PBE
Structure: optimized geometry

Cell lengths 4.858, 4.858, 3.658 Å; angles 90.00, 90.00, 90.00 degrees
Site moments in Bohr magnetons follow the coordinates.
Sites, in units of the cell vectors:
1 Mg 0.500 0.500 0.500  0.00
2 Ge 0.000 0.000 0.000  -0.03
3 S 0.000 0.500 0.000  0.12
4 S 0.500 0.000 0.000  0.12
5 N 0.000 0.000 0.500  0.60

## Properties
DOS(E_F) = 1.3 states/eV/cell
DFT total energy = -21.5 eV for the cell shown
Offset from the most stable computed form = 0 meV/atom
ΔE_f (raw) = 123.5 kJ/mol of formula units

---

Compound: MgGeS2N
Source: the Alexandria database
Functional: PBE
Structure: optimized geometry

Cell lengths 4.884, 4.884, 3.886 Å; angles 90.00, 90.00, 90.00 degrees
Sites, in units of the cell vectors:
1 Mg 0.000 0.000 0.000
2 Ge 0.500 0.500 0.500
3 S 0.000 0.500 0.000
4 S 0.500 0.000 0.000
5 N 0.000 0.000 0.500

## Properties
DOS(E_F) = 2.5 states/eV/cell
DFT total energy = -19.3 eV for the cell shown
Offset from the most stable computed form = 438 meV/atom
ΔE_f (raw) = 335.0 kJ/mol of formula units

---

Compound: MgGeSN2
Source: the Alexandria database
Functional: PBE
Structure: optimized geometry

Cell lengths 3.678, 3.678, 5.575 Å; angles 90.00, 90.00, 90.00 degrees
Site moments in Bohr magnetons follow the coordinates.
Sites, in units of the cell vectors:
1 Mg 0.500 0.500 0.500  0.00
2 Ge 0.000 0.000 0.000  -0.02
3 S 0.000 0.000 0.500  0.04
4 N 0.000 0.500 0.000  0.16
5 N 0.500 0.000 0.000  0.16

## Properties
DOS(E_F) = 2.8 states/eV/cell
DFT total energy = -24.1 eV for the cell shown
Offset from the most stable computed form = 0 meV/atom
ΔE_f (raw) = 275.7 kJ/mol of formula units

---

Compound: MgSc2GeN
Source: the Alexandria database
Functional: PBE
Structure: optimized geometry

Cell lengths 4.392, 4.392, 4.203 Å; angles 90.00, 90.00, 90.00 degrees
Sites, in units of the cell vectors:
1 Sc 0.000 0.500 0.000
2 Sc 0.500 0.000 0.000
3 Ge 0.500 0.500 0.500
4 Mg 0.000 0.000 0.500
5 N 0.000 0.000 0.000

## Properties
DOS(E_F) = 1.5 states/eV/cell
DFT total energy = -32.2 eV for the cell shown
Offset from the most stable computed form = 0 meV/atom
ΔE_f (raw) = -484.5 kJ/mol of formula units

---

Compound: MgGeSe2N
Source: the Alexandria database
Functional: PBE
Structure: optimized geometry

Cell lengths 5.184, 5.184, 3.990 Å; angles 90.00, 90.00, 90.00 degrees
Site moments in Bohr magnetons follow the coordinates.
Sites, in units of the cell vectors:
1 Ge 0.500 0.500 0.500  0.00
2 Mg 0.000 0.000 0.000  -0.01
3 Se 0.000 0.500 0.000  0.13
4 Se 0.500 0.000 0.000  0.13
5 N 0.000 0.000 0.500  1.19

## Properties
DOS(E_F) = 4.8 states/eV/cell
DFT total energy = -18.5 eV for the cell shown
Offset from the most stable computed form = 313 meV/atom
ΔE_f (raw) = 291.0 kJ/mol of formula units

---

Compound: MgGeSe2N
Source: the Alexandria database
Functional: PBE
Structure: optimized geometry

Cell lengths 5.269, 5.269, 3.531 Å; angles 90.00, 90.00, 90.00 degrees
Sites, in units of the cell vectors:
1 Ge 0.000 0.000 0.000
2 Mg 0.500 0.500 0.500
3 Se 0.000 0.500 0.000
4 Se 0.500 0.000 0.000
5 N 0.000 0.000 0.500

## Properties
DOS(E_F) = 2.3 states/eV/cell
DFT total energy = -20.1 eV for the cell shown
Offset from the most stable computed form = 0 meV/atom
ΔE_f (raw) = 139.8 kJ/mol of formula units